[1]
First-principles (PBE) data for a relaxed structure of KNa2GaF6, as listed in Alexandria via LeMat-Bulk.

Geometry as CIF:
```
data_KNa2GaF6
_space_group_name_H-M_alt 'F m -3 m'
_space_group_IT_number 225
_space_group_name_Hall '-F 4 2 3'
_cell_length_a 8.7278
_cell_length_b 8.7278
_cell_length_c 8.7278
_cell_angle_alpha 90.00
_cell_angle_beta 90.00
_cell_angle_gamma 90.00
loop_
_atom_site_label
_atom_site_fract_x
_atom_site_fract_y
_atom_site_fract_z
K1 0.0000 0.0000 0.0000
Na1 0.2500 0.2500 0.2500
Ga1 0.0000 0.0000 0.5000
F1 0.0000 0.0000 0.2808
```

Calculated values
Relative energy among the computed polymorphs: 1.454 eV per formula unit
Calculated volume: 16.62 Å³/atom
Uncorrected formation energy: -26.2 eV/f.u.

[2]
First-principles (PBE) data for a relaxed structure of K2NdGaF8, as listed in Alexandria via LeMat-Bulk.

Geometry as CIF:
```
data_K2NdGaF8
_space_group_name_H-M_alt 'P 1 2/m 1'
_space_group_IT_number 10
_space_group_name_Hall '-P 2y'
_cell_length_a 4.3816
_cell_length_b 7.2349
_cell_length_c 6.1139
_cell_angle_alpha 90.00
_cell_angle_beta 95.58
_cell_angle_gamma 90.00
loop_
_atom_site_label
_atom_site_fract_x
_atom_site_fract_y
_atom_site_fract_z
K1 0.0000 0.2302 0.0000
Nd1 0.5000 0.5000 0.5000
Ga1 0.5000 0.0000 0.5000
F1 0.0410 0.5000 0.2823
F2 0.1374 0.0000 0.3226
F3 0.4085 0.2196 0.6926
```

Calculated values
Calculated volume: 16.07 Å³/atom
Uncorrected formation energy: -37.5 eV/f.u.

| no. | total DFT energy (no corrections) (eV/atom) |
| --- | --- |
| 1 | -4.42 |
| 2 | -5.20 |